The following is a PBE with a Hubbard U calculation of a geometry-optimized CaTl3Fe2F9 structure, from the Alexandria database.

N(E_F)	0.00	states/eV/cell
magnetic moment	8.00	μB/f.u.
DFT total energy	-4.97	eV/atom

a b c (Å): 6.1647 6.1647 7.4125
angles (deg): 90.00 90.00 120.00
Element x y z (fractional)
1 Ca 0.0000 0.0000 0.0000
2 Tl 0.0000 0.0000 0.5000
3 Tl 0.3333 0.6667 0.1808
4 Tl 0.6667 0.3333 0.8192
5 Fe 0.3333 0.6667 0.6612
6 Fe 0.6667 0.3333 0.3388
7 F 0.0000 0.5000 0.5000
8 F 0.1710 0.3420 0.8194
9 F 0.1710 0.8290 0.8194
10 F 0.3420 0.1710 0.1806
11 F 0.5000 0.0000 0.5000
12 F 0.5000 0.5000 0.5000
13 F 0.6580 0.8290 0.8194
14 F 0.8290 0.1710 0.1806
15 F 0.8290 0.6580 0.1806